(1)
The following is a DFT calculation (PBE-GGA) of a geometry-optimized KB2TeS structure.

The structure in POSCAR format:
```
KB2TeS
1.0
4.626 0.000 0.000
0.000 5.553 0.000
0.000 0.000 4.626
K Te S B
1 1 1 2
Cartesian
2.313 2.776 2.313
0.000 0.000 0.000
0.000 2.776 0.000
0.000 0.000 2.313
2.313 0.000 0.000
```

* DOS(E_F): 3.2 states/eV/f.u.
* V: 23.77 A^3/atom
* ρ: 3.08 Mg/m³
* raw formation energy: 1.197 eV/atom

=====

(2)
The following is a DFT calculation (PBE-GGA) of a geometry-optimized Nd3Dy5Y2 structure.

The structure in POSCAR format:
```
Nd3Dy5Y2
1.0
8.522 1.659 -3.997
0.294 8.614 -4.046
-1.821 -2.028 10.827
Nd Dy Y
6 10 4
Cartesian
0.512 6.891 5.542
6.483 1.354 -2.757
5.909 4.777 -2.114
1.086 3.468 4.898
-0.053 6.228 -0.510
7.049 2.017 3.295
2.386 4.852 -2.738
4.609 3.393 5.522
-0.564 5.598 2.712
3.580 2.156 2.813
7.559 2.647 0.072
3.415 6.089 -0.029
6.123 5.146 2.040
0.872 3.099 0.745
1.912 0.218 5.891
5.083 8.027 -3.107
5.228 -0.110 4.844
1.767 8.355 -2.059
2.843 5.517 3.180
4.152 2.728 -0.396
```

* DOS(E_F): 18.1 states/eV/f.u.
* V: 33.58 A^3/atom
* ρ: 7.04 Mg/m³
* formation enthalpy at 0 K: 1.93 eV/f.u.

=====

(3)
The following is a DFT calculation (PBE-GGA) of a geometry-optimized TiIN3 structure.

The structure in POSCAR format:
```
TiIN3
1.0
4.015 0.000 0.000
0.000 4.015 0.000
0.000 0.000 4.015
I N Ti
1 3 1
Cartesian
2.007 2.007 2.007
0.000 2.007 0.000
0.000 0.000 2.007
2.007 0.000 0.000
0.000 0.000 0.000
```

* DOS(E_F): 4.7 states/eV/f.u.
* V: 12.94 A^3/atom
* ρ: 5.56 Mg/m³
* raw formation energy: 1.026 eV/atom

=====

(4)
The following is a DFT calculation (PBE-GGA) of a geometry-optimized CaFe2Sb structure.

The structure in POSCAR format:
```
CaFe2Sb
1.0
4.675 0.000 0.000
0.000 3.304 -0.032
0.000 0.101 5.295
Sb Ca Fe
1 1 2
Cartesian
2.337 0.851 1.316
2.337 2.553 3.947
0.000 0.860 5.226
0.000 0.943 2.699
```

* DOS(E_F): 5.1 states/eV/f.u.
* V: 20.45 A^3/atom
* ρ: 5.55 Mg/m³
* raw formation energy: 0.292 eV/atom

=====

(5)
The following is a DFT calculation (PBE-GGA) of a geometry-optimized LiTaRe2 structure.

The structure in POSCAR format:
```
LiTaRe2
1.0
-2.605 -0.296 -4.483
-2.657 -0.948 4.361
-0.601 2.522 0.182
Li Re Ta
1 2 1
Cartesian
-1.629 0.787 2.271
0.000 0.000 0.000
-2.631 -0.622 -0.061
-1.603 1.113 -2.150
```

* DOS(E_F): 3.5 states/eV/f.u.
* V: 15.58 A^3/atom
* relative energy among the computed polymorphs: 207 meV per atom
* ρ: 14.93 Mg/m³
* formation enthalpy at 0 K: 1.24 eV/f.u.

=====

(6)
The following is a DFT calculation (PBE-GGA) of a geometry-optimized Hg2PSe structure.

The structure in POSCAR format:
```
Hg2PSe
1.0
3.916 0.000 0.000
0.000 3.914 0.000
0.000 0.000 6.356
Hg P Se
2 1 1
Cartesian
0.000 0.000 0.000
1.958 1.957 0.000
1.958 0.000 3.178
0.000 1.957 3.178
```

* DOS(E_F): 3.0 states/eV/f.u.
* V: 24.36 A^3/atom
* ρ: 8.71 Mg/m³
* raw formation energy: 0.424 eV/atom

=====

(7)
The following is a DFT calculation (PBE-GGA) of a geometry-optimized Ti2CN structure.

The structure in POSCAR format:
```
Ti2CN
1.0
2.999 0.000 0.000
1.499 2.597 0.000
1.499 0.866 5.198
Ti C N
2 1 1
Cartesian
1.499 0.866 3.971
1.499 0.866 1.240
4.498 2.597 5.163
2.999 1.731 2.621
```

* DOS(E_F): 3.2 states/eV/f.u.
* V: 10.12 A^3/atom
* relative energy among the computed polymorphs: 207 meV per atom
* ρ: 4.99 Mg/m³
* raw formation energy: -1.087 eV/atom

=====

(8)
The following is a DFT calculation (PBE-GGA) of a geometry-optimized K2PuTaO6 structure.

The structure in POSCAR format:
```
K2PuTaO6
1.0
-3.418 -3.830 -2.879
2.169 -4.390 3.265
-6.042 1.181 5.603
K Pu Ta O
4 2 2 12
Cartesian
-1.592 -4.912 2.410
-3.989 -0.212 5.018
-4.614 -4.322 5.211
-0.968 -0.803 2.217
-1.394 -2.702 5.250
-1.167 -3.012 -0.623
-4.188 -2.422 2.178
1.627 -3.292 2.448
-2.728 -2.707 0.824
-5.648 -2.137 3.532
0.167 -3.007 3.802
-2.955 -2.397 6.698
-3.886 -0.435 2.085
-5.538 -2.287 0.693
-2.837 -2.558 3.664
-4.489 -4.409 2.272
-1.489 -5.135 -0.524
0.276 -3.157 0.963
1.325 -5.279 2.542
-0.440 -7.257 1.055
```

* DOS(E_F): 6.6 states/eV/f.u.
* V: 14.42 A^3/atom
* ρ: 6.90 Mg/m³
* raw formation energy: -2.587 eV/atom

=====

(9)
The following is a DFT calculation (PBE-GGA) of a geometry-optimized NiSn2Au structure.

The structure in POSCAR format:
```
NiSn2Au
1.0
-1.519 2.842 -0.797
-1.659 1.703 2.318
6.388 6.056 2.501
Ni Au Sn
1 1 2
Cartesian
1.605 5.300 2.011
0.000 0.000 0.000
4.168 4.702 1.907
-0.958 5.898 2.115
```

* DOS(E_F): 2.4 states/eV/f.u.
* V: 21.35 A^3/atom
* relative energy among the computed polymorphs: 227 meV per atom
* ρ: 9.59 Mg/m³
* formation enthalpy at 0 K: -0.01 eV/f.u.

=====

(10)
The following is a DFT calculation (PBE-GGA) of a geometry-optimized U4Al18Ni5 structure.

The structure in POSCAR format:
```
U4Al18Ni5
1.0
2.017 7.795 0.006
-2.017 7.795 0.006
0.000 7.355 14.301
U Al Ni
4 18 5
Cartesian
0.000 16.834 9.457
0.000 9.579 1.573
0.000 6.080 4.800
0.000 13.430 12.704
0.000 6.588 1.583
0.000 7.327 11.077
0.000 15.608 3.164
0.000 9.071 4.600
0.000 13.714 9.552
0.000 10.390 11.261
0.000 18.557 6.490
0.000 12.621 2.935
0.000 10.335 13.894
0.000 11.068 8.585
0.000 15.741 6.292
0.000 20.038 10.596
0.000 2.993 3.666
0.000 7.391 14.263
0.000 16.393 12.638
0.000 13.048 6.858
0.000 7.070 8.083
0.000 12.633 0.311
0.000 9.177 6.976
0.000 4.250 1.624
0.000 18.733 12.560
0.000 4.677 8.199
0.000 11.399 5.011
```

* DOS(E_F): 36.1 states/eV/f.u.
* V: 16.65 A^3/atom
* ρ: 6.40 Mg/m³
* formation enthalpy at 0 K: -9.48 eV/f.u.

=====

(11)
The following is a DFT calculation (PBE-GGA) of a geometry-optimized Lu2Ni12P7 structure.

The structure in POSCAR format:
```
Lu2Ni12P7
1.0
-3.261 7.881 -2.934
-3.568 -7.738 -2.957
-2.387 0.043 2.768
Lu Ni P
2 12 7
Cartesian
-3.465 -2.532 -2.949
-4.557 2.696 -1.557
-1.483 -0.926 -1.265
-5.493 -1.082 -4.720
-3.421 -5.588 -2.863
-3.983 -0.315 -1.016
-6.431 -2.853 -3.088
-3.564 -4.362 -0.592
-1.642 2.951 -1.462
-4.390 4.502 -3.856
-4.057 0.570 -3.508
-2.235 1.002 0.471
-4.586 6.213 -1.637
-6.849 0.873 -3.506
-3.016 -2.239 -0.152
-5.644 -0.769 -2.441
-5.317 -4.522 -2.102
-2.382 0.949 -2.069
-2.713 4.675 -2.412
-4.994 2.400 -4.344
0.000 0.000 0.000
```

* DOS(E_F): 13.0 states/eV/f.u.
* V: 12.27 A^3/atom
* ρ: 8.19 Mg/m³
* formation enthalpy at 0 K: -16.04 eV/f.u.

=====

(12)
The following is a DFT calculation (PBE-GGA) of a geometry-optimized Ba2AsF structure.

The structure in POSCAR format:
```
Ba2AsF
1.0
-0.894 -4.268 -1.513
-0.873 -3.383 3.017
-7.268 -1.058 0.241
As Ba F
1 2 1
Cartesian
0.000 0.000 0.000
-2.337 -2.160 0.433
-6.698 -6.549 1.311
-4.518 -4.355 0.872
```

* V: 31.59 A^3/atom
* relative energy among the computed polymorphs: 33 meV per atom
* ρ: 4.84 Mg/m³
* raw formation energy: -2.001 eV/atom

=====

(13)
The following is a DFT calculation (PBE-GGA) of a geometry-optimized AgAsCl2 structure.

The structure in POSCAR format:
```
AgAsCl2
1.0
2.283 -4.308 0.237
-2.553 -4.072 0.856
-0.616 -3.288 -3.555
As Ag Cl
1 1 2
Cartesian
0.000 0.000 0.000
-0.443 -5.834 -1.231
-0.221 -2.917 -0.615
-0.664 -8.751 -1.846
```

* DOS(E_F): 3.3 states/eV/f.u.
* V: 20.56 A^3/atom
* relative energy among the computed polymorphs: 580 meV per atom
* ρ: 5.12 Mg/m³
* raw formation energy: 0.291 eV/atom

=====

(14)
The following is a DFT calculation (PBE-GGA) of a geometry-optimized Ca2PuZn structure.

The structure in POSCAR format:
```
Ca2PuZn
1.0
3.539 0.000 0.000
1.769 3.064 0.000
1.769 1.021 11.568
Zn Ca Pu
1 2 1
Cartesian
3.539 2.043 5.784
1.769 1.021 8.138
5.308 3.064 3.430
0.000 0.000 0.000
```

* DOS(E_F): 12.1 states/eV/f.u.
* V: 31.36 A^3/atom
* ρ: 5.16 Mg/m³
* formation enthalpy at 0 K: 1.14 eV/f.u.

=====

(15)
The following is a DFT calculation (PBE-GGA) of a geometry-optimized Y2TlCuTe4 structure.

The structure in POSCAR format:
```
Y2TlCuTe4
1.0
-2.394 0.365 3.626
6.547 -3.736 2.077
6.715 13.478 3.078
Y Tl Cu Te
4 2 2 8
Cartesian
7.714 5.038 4.587
0.689 0.123 3.064
3.153 5.069 4.194
10.179 9.984 5.716
6.275 9.285 3.209
4.592 0.821 5.571
7.499 7.860 6.782
3.369 2.247 1.999
3.647 -0.367 2.445
5.402 6.824 5.502
7.220 10.473 6.335
5.465 3.283 3.278
3.357 6.739 1.539
0.000 0.000 0.000
9.755 6.974 5.739
1.113 3.133 3.041
```

* V: 31.45 A^3/atom
* ρ: 6.31 Mg/m³
* raw formation energy: -0.977 eV/atom

=====

(16)
The following is a DFT calculation (PBE-GGA) of a geometry-optimized AcPu2RuN4 structure.

The structure in POSCAR format:
```
AcPu2RuN4
1.0
3.462 0.000 0.000
-1.731 5.952 0.000
0.000 0.000 11.800
Ac Pu Ru N
2 4 2 8
Cartesian
0.000 1.204 8.850
1.731 4.748 2.950
0.000 4.389 6.501
1.731 1.563 0.601
1.731 1.563 5.300
0.000 4.389 11.200
1.731 4.046 8.850
0.000 1.906 2.950
0.000 3.089 1.259
1.731 2.863 7.159
1.731 2.863 10.541
0.000 3.089 4.641
0.000 0.000 5.900
0.000 0.000 0.000
0.000 5.211 8.850
1.731 0.741 2.950
```

* DOS(E_F): 12.8 states/eV/f.u.
* V: 15.20 A^3/atom
* ρ: 11.91 Mg/m³
* raw formation energy: -0.896 eV/atom

=====

(17)
The following is a DFT calculation (PBE-GGA) of a geometry-optimized NdReN structure.

The structure in POSCAR format:
```
NdReN
1.0
-0.811 2.069 -1.835
-3.366 1.049 2.670
4.568 3.626 4.333
N Nd Re
2 2 2
Cartesian
2.488 3.990 3.400
-2.097 2.753 1.769
0.585 5.757 3.970
-0.194 0.987 1.199
1.141 3.970 1.710
-0.749 2.774 3.459
```

* DOS(E_F): 2.1 states/eV/f.u.
* V: 15.12 A^3/atom
* ρ: 12.61 Mg/m³
* raw formation energy: -0.069 eV/atom

=====

(18)
The following is a DFT calculation (PBE-GGA) of a geometry-optimized KCoPt structure.

The structure in POSCAR format:
```
KCoPt
1.0
4.504 0.000 0.000
2.252 3.901 0.000
2.252 1.300 3.678
Co K Pt
1 1 1
Cartesian
6.757 3.901 2.758
0.000 0.000 0.000
4.504 2.601 1.839
```

* DOS(E_F): 3.9 states/eV/f.u.
* V: 21.54 A^3/atom
* relative energy among the computed polymorphs: 686 meV per atom
* ρ: 7.53 Mg/m³
* formation enthalpy at 0 K: 2.71 eV/f.u.

=====

(19)
The following is a DFT calculation (PBE-GGA) of a geometry-optimized Np2UPaS4 structure.

The structure in POSCAR format:
```
Np2UPaS4
1.0
-2.223 -2.932 1.049
5.643 -4.038 0.672
-1.181 2.948 5.739
Np U Pa S
2 1 1 4
Cartesian
-1.702 0.008 3.394
2.231 -0.545 3.206
0.000 0.000 0.000
1.710 -3.485 0.860
-0.003 -1.733 2.129
2.241 -2.289 5.330
0.505 1.211 4.458
3.956 -2.301 1.953
```

* DOS(E_F): 18.7 states/eV/f.u.
* V: 20.70 A^3/atom
* ρ: 10.74 Mg/m³
* raw formation energy: -1.439 eV/atom

=====

(20)
The following is a DFT calculation (PBE-GGA) of a geometry-optimized OsW3S structure.

The structure in POSCAR format:
```
OsW3S
1.0
-2.660 -1.345 3.184
3.376 -1.873 2.029
0.742 3.702 2.184
S Os W
1 1 3
Cartesian
0.000 0.000 0.000
0.729 0.242 3.698
1.688 -0.937 1.014
0.371 1.851 1.092
-1.330 -0.673 1.592
```

* DOS(E_F): 4.5 states/eV/f.u.
* V: 16.60 A^3/atom
* relative energy among the computed polymorphs: 0 meV per atom
* ρ: 15.48 Mg/m³
* raw formation energy: 1.064 eV/atom

=====

(21)
The following is a DFT calculation (PBE-GGA) of a geometry-optimized LaAg2Br5 structure.

The structure in POSCAR format:
```
LaAg2Br5
1.0
7.736 0.000 0.000
-3.868 6.249 -3.153
0.000 0.301 11.011
La Ag Br
2 4 10
Cartesian
0.000 0.000 0.000
0.000 0.150 5.506
4.448 1.664 1.021
0.581 4.735 1.331
3.287 1.814 6.527
-0.581 4.886 6.837
-0.930 2.799 0.181
5.151 1.127 4.415
2.584 1.277 9.921
2.937 3.600 2.171
0.930 2.950 5.687
1.123 0.075 2.753
1.284 5.272 -2.063
-1.284 5.423 3.443
4.798 3.750 7.676
6.612 0.226 8.258
```

* DOS(E_F): 0.0 states/eV/f.u.
* V: 33.72 A^3/atom
* ρ: 4.64 Mg/m³
* raw formation energy: -1.130 eV/atom

=====

(22)
The following is a DFT calculation (PBE-GGA) of a geometry-optimized YPu2Th structure.

The structure in POSCAR format:
```
YPu2Th
1.0
-4.399 -1.742 0.898
0.214 -2.668 -4.128
1.991 -3.731 2.514
Y Th Pu
1 1 2
Cartesian
-1.097 -4.070 -0.358
-2.199 -0.871 0.449
0.996 -1.865 1.257
0.107 -1.334 -2.064
```

* DOS(E_F): 12.0 states/eV/f.u.
* V: 29.14 A^3/atom
* relative energy among the computed polymorphs: 4 meV per atom
* ρ: 11.53 Mg/m³
* formation enthalpy at 0 K: 0.73 eV/f.u.

=====

(23)
The following is a DFT calculation (PBE-GGA) of a geometry-optimized SrMgZr3 structure.

The structure in POSCAR format:
```
SrMgZr3
1.0
5.214 0.000 0.000
0.000 5.214 0.000
0.000 0.000 5.214
Sr Mg Zr
1 1 3
Cartesian
0.000 0.000 0.000
2.607 2.607 2.607
0.000 2.607 0.000
0.000 0.000 2.607
2.607 0.000 0.000
```

* DOS(E_F): 7.1 states/eV/f.u.
* V: 28.35 A^3/atom
* relative energy among the computed polymorphs: 714 meV per atom
* ρ: 4.52 Mg/m³
* formation enthalpy at 0 K: 8.47 eV/f.u.